Record 1
Below is a relaxed structure of GdLuAgRh, with properties calculated at the GGA-PBE level.

Electronic total energy in eV/cell: -31.11
Energy of formation from the pure elements in eV/atom: -0.58
Space-group type: F-43m

Lattice parameters (Å, degrees): 4.965 4.965 4.965 60.00 60.00 60.00
Site moments in Bohr magnetons follow the coordinates.
Element x y z (fractional)
Lu 0.000 0.000 0.000  0.04
Gd 0.500 0.500 0.500  7.03
Ag 0.250 0.250 0.250  0.01
Rh 0.750 0.750 0.750  -0.02

---

Record 2
Below is a relaxed structure of GdLuAgRu, with properties calculated at the GGA-PBE level.

Electronic total energy in eV/cell: -32.13
Energy of formation from the pure elements in eV/atom: -0.35
Space-group type: F-43m

Lattice parameters (Å, degrees): 4.935 4.935 4.935 60.00 60.00 60.00
Site moments in Bohr magnetons follow the coordinates.
Element x y z (fractional)
Ag 0.250 0.250 0.250  0.01
Gd 0.000 0.000 0.000  7.03
Ru 0.750 0.750 0.750  -0.09
Lu 0.500 0.500 0.500  0.02

---

Record 3
Below is a relaxed structure of GdLuScAg, with properties calculated at the GGA-PBE level.

Electronic total energy in eV/cell: -27.65
Energy of formation from the pure elements in eV/atom: 0.03
Space-group type: F-43m

Lattice parameters (Å, degrees): 5.240 5.240 5.240 60.00 60.00 60.00
Site moments in Bohr magnetons follow the coordinates.
Element x y z (fractional)
Gd 0.500 0.500 0.500  7.10
Ag 0.250 0.250 0.250  0.00
Sc 0.750 0.750 0.750  0.02
Lu 0.000 0.000 0.000  0.02

---

Record 4
Below is a relaxed structure of GdLuSiAg, with properties calculated at the GGA-PBE level.

Electronic total energy in eV/cell: -28.62
Space-group type: F-43m
Formation energy (no corrections) in meV per atom: -434.7

Lattice parameters (Å, degrees): 5.019 5.019 5.019 60.00 60.00 60.00
Site moments in Bohr magnetons follow the coordinates.
Element x y z (fractional)
Gd 0.500 0.500 0.500  -7.17
Ag 0.250 0.250 0.250  -0.03
Lu 0.000 0.000 0.000  -0.19
Si 0.750 0.750 0.750  0.04

---

no.,D(E_F) (states/eV/cell)
1,3.10
2,2.33
3,4.69
4,3.26